Model 1:
This record from Alexandria describes a relaxed structure of PBr2Cl. The functional is PBEsol.

```
data_PBr2Cl
_chemical_formula_sum 'P3 Br6 Cl3'
_space_group_name_H-M_alt 'R -3 m'
_space_group_IT_number 166
_space_group_name_Hall '-R 3 2"'
_cell_length_a 3.7254
_cell_length_b 3.7254
_cell_length_c 22.3232
_cell_angle_alpha 90.00
_cell_angle_beta 90.00
_cell_angle_gamma 120.00
loop_
_atom_site_label
_atom_site_type_symbol
_atom_site_fract_x
_atom_site_fract_y
_atom_site_fract_z
P1 P 0.0000 0.0000 0.0000
Br1 Br 0.0000 0.0000 0.2646
Cl1 Cl 0.0000 0.0000 0.5000
```

The volume comes out at 268.4 Å³ per cell. The calculation puts the density of states at the Fermi level at 0.13 states/eV/f.u.

---

Model 2:
This record from Alexandria describes a relaxed structure of PBr2Cl. The functional is PBEsol.

```
data_PBr2Cl
_chemical_formula_sum 'P2 Br4 Cl2'
_space_group_name_H-M_alt 'C 1 m 1'
_space_group_IT_number 8
_cell_length_a 12.2181
_cell_length_b 3.6030
_cell_length_c 6.2308
_cell_angle_alpha 90.00
_cell_angle_beta 115.40
_cell_angle_gamma 90.00
loop_
_space_group_symop_operation_xyz
'x,y,z'
'x,-y,z'
'x+1/2,y+1/2,z'
'x+1/2,-y+1/2,z'
loop_
_atom_site_label
_atom_site_type_symbol
_atom_site_fract_x
_atom_site_fract_y
_atom_site_fract_z
P1 P 0.0000 0.0000 0.0000
Br1 Br 0.1521 0.0000 0.8976
Br2 Br 0.3779 0.0000 0.6946
Cl1 Cl 0.0844 0.5000 0.2901
```

The volume comes out at 247.8 Å³ per cell. The calculation puts the density of states at the Fermi level at 0.00 states/eV/f.u.

---

Bottom line: model 2, by a margin of 39.6 kJ/mol of atoms.

---

Model 1:
This record from Alexandria describes a relaxed structure of PBrCl2. The functional is PBEsol.

```
data_PBrCl2
_chemical_formula_sum 'P1 Br1 Cl2'
_space_group_name_H-M_alt 'P 1 m 1'
_space_group_IT_number 6
_cell_length_a 6.0630
_cell_length_b 3.5656
_cell_length_c 6.6775
_cell_angle_alpha 90.00
_cell_angle_beta 110.51
_cell_angle_gamma 90.00
loop_
_space_group_symop_operation_xyz
'x,y,z'
'x,-y,z'
loop_
_atom_site_label
_atom_site_type_symbol
_atom_site_fract_x
_atom_site_fract_y
_atom_site_fract_z
P1 P 0.0000 0.0000 0.0000
Br1 Br 0.8784 0.5000 0.2175
Cl1 Cl 0.1607 0.5000 0.8424
Cl2 Cl 0.6853 0.0000 0.7556
```

The volume comes out at 135.2 Å³ per cell. The calculation puts the density of states at the Fermi level at 0.00 states/eV/f.u.

---

Model 2:
This record from Alexandria describes a relaxed structure of PBrCl2. The functional is PBEsol.

```
data_PBrCl2
_chemical_formula_sum 'P2 Br2 Cl4'
_space_group_name_H-M_alt 'C 1 2/m 1'
_space_group_IT_number 12
_cell_length_a 7.3108
_cell_length_b 7.5992
_cell_length_c 3.2463
_cell_angle_alpha 90.00
_cell_angle_beta 90.43
_cell_angle_gamma 90.00
loop_
_space_group_symop_operation_xyz
'x,y,z'
'-x,-y,-z'
'-x,y,-z'
'x,-y,z'
'x+1/2,y+1/2,z'
'-x+1/2,-y+1/2,-z'
'-x+1/2,y+1/2,-z'
'x+1/2,-y+1/2,z'
loop_
_atom_site_label
_atom_site_type_symbol
_atom_site_fract_x
_atom_site_fract_y
_atom_site_fract_z
P1 P 0.0000 0.0000 0.0000
Br1 Br 0.0000 0.5000 0.0000
Cl1 Cl 0.2500 0.2500 0.0000
```

The volume comes out at 180.3 Å³ per cell. The calculation puts the density of states at the Fermi level at 1.88 states/eV/f.u.

---

Bottom line: model 1, by a margin of 85.9 kJ/mol of atoms.

---

Model 1:
This record from Alexandria describes a relaxed structure of Pd3BrCl. The functional is PBEsol.

```
data_Pd3BrCl
_chemical_formula_sum 'Pd3 Br1 Cl1'
_space_group_name_H-M_alt 'P m -3 m'
_space_group_IT_number 221
_space_group_name_Hall '-P 4 2 3'
_cell_length_a 4.5544
_cell_length_b 4.5544
_cell_length_c 4.5544
_cell_angle_alpha 90.00
_cell_angle_beta 90.00
_cell_angle_gamma 90.00
loop_
_atom_site_label
_atom_site_type_symbol
_atom_site_fract_x
_atom_site_fract_y
_atom_site_fract_z
Pd1 Pd 0.0000 0.0000 0.5000
Br1 Br 0.5000 0.5000 0.5000
Cl1 Cl 0.0000 0.0000 0.0000
```

The volume comes out at 94.5 Å³ per cell. The calculation puts the density of states at the Fermi level at 3.11 states/eV/f.u.

---

Model 2:
This record from Alexandria describes a relaxed structure of Pd3BrCl. The functional is PBEsol.

```
data_Pd3BrCl
_chemical_formula_sum 'Pd3 Br1 Cl1'
_space_group_name_H-M_alt 'P m -3 m'
_space_group_IT_number 221
_space_group_name_Hall '-P 4 2 3'
_cell_length_a 4.7103
_cell_length_b 4.7103
_cell_length_c 4.7103
_cell_angle_alpha 90.00
_cell_angle_beta 90.00
_cell_angle_gamma 90.00
loop_
_atom_site_label
_atom_site_type_symbol
_atom_site_fract_x
_atom_site_fract_y
_atom_site_fract_z
Pd1 Pd 0.0000 0.0000 0.5000
Br1 Br 0.0000 0.0000 0.0000
Cl1 Cl 0.5000 0.5000 0.5000
```

The volume comes out at 104.5 Å³ per cell. The calculation puts the density of states at the Fermi level at 3.33 states/eV/f.u.

---

Bottom line: model 1, by a margin of 16.1 kJ/mol of atoms.

---

Model 1:
This record from Alexandria describes a relaxed structure of PtBr2Cl. The functional is PBEsol.

```
data_PtBr2Cl
_chemical_formula_sum 'Pt1 Br2 Cl1'
_space_group_name_H-M_alt 'P m m 2'
_space_group_IT_number 25
_cell_length_a 2.9915
_cell_length_b 3.1982
_cell_length_c 9.6958
_cell_angle_alpha 90.00
_cell_angle_beta 90.00
_cell_angle_gamma 90.00
loop_
_space_group_symop_operation_xyz
'x,y,z'
'-x,-y,z'
'-x,y,z'
'x,-y,z'
loop_
_atom_site_label
_atom_site_type_symbol
_atom_site_fract_x
_atom_site_fract_y
_atom_site_fract_z
Pt1 Pt 0.0000 0.0000 0.0000
Br1 Br 0.0000 0.0000 0.5051
Br2 Br 0.5000 0.5000 0.1739
Cl1 Cl 0.5000 0.5000 0.8404
```

The volume comes out at 92.8 Å³ per cell. The calculation puts the density of states at the Fermi level at 5.24 states/eV/f.u.

---

Model 2:
This record from Alexandria describes a relaxed structure of PtBr2Cl. The functional is PBEsol.

```
data_PtBr2Cl
_chemical_formula_sum 'Pt2 Br4 Cl2'
_space_group_name_H-M_alt 'C m m m'
_space_group_IT_number 65
_space_group_name_Hall '-C 2 2'
_cell_length_a 3.5894
_cell_length_b 7.3641
_cell_length_c 7.9306
_cell_angle_alpha 90.00
_cell_angle_beta 90.00
_cell_angle_gamma 90.00
loop_
_atom_site_label
_atom_site_type_symbol
_atom_site_fract_x
_atom_site_fract_y
_atom_site_fract_z
Pt1 Pt 0.0000 0.0000 0.0000
Br1 Br 0.0000 0.5000 0.2061
Cl1 Cl 0.0000 0.0000 0.5000
```

The volume comes out at 209.6 Å³ per cell. The calculation puts the density of states at the Fermi level at 7.11 states/eV/f.u.

---

Bottom line: model 2, by a margin of 37.5 kJ/mol of atoms.

---

Model 1:
This record from Alexandria describes a relaxed structure of PtBr2Cl. The functional is PBEsol.

```
data_PtBr2Cl
_chemical_formula_sum 'Pt4 Br8 Cl4'
_space_group_name_H-M_alt 'F -4 3 m'
_space_group_IT_number 216
_space_group_name_Hall 'F -4 2 3'
_cell_length_a 6.7660
_cell_length_b 6.7660
_cell_length_c 6.7660
_cell_angle_alpha 90.00
_cell_angle_beta 90.00
_cell_angle_gamma 90.00
loop_
_atom_site_label
_atom_site_type_symbol
_atom_site_fract_x
_atom_site_fract_y
_atom_site_fract_z
Pt1 Pt 0.0000 0.0000 0.0000
Br1 Br 0.0000 0.0000 0.5000
Br2 Br 0.2500 0.2500 0.2500
Cl1 Cl 0.2500 0.2500 0.7500
```

The volume comes out at 309.7 Å³ per cell. The calculation puts the density of states at the Fermi level at 4.83 states/eV/f.u.

---

Model 2:
This record from Alexandria describes a relaxed structure of PtBr2Cl. The functional is PBEsol.

```
data_PtBr2Cl
_chemical_formula_sum 'Pt2 Br4 Cl2'
_space_group_name_H-M_alt 'A m m 2'
_space_group_IT_number 38
_cell_length_a 3.5945
_cell_length_b 5.2631
_cell_length_c 11.3469
_cell_angle_alpha 90.00
_cell_angle_beta 90.00
_cell_angle_gamma 90.00
loop_
_space_group_symop_operation_xyz
'x,y,z'
'-x,-y,z'
'-x,y,z'
'x,-y,z'
'x,y+1/2,z+1/2'
'-x,-y+1/2,z+1/2'
'-x,y+1/2,z+1/2'
'x,-y+1/2,z+1/2'
loop_
_atom_site_label
_atom_site_type_symbol
_atom_site_fract_x
_atom_site_fract_y
_atom_site_fract_z
Pt1 Pt 0.0000 0.0000 0.0000
Br1 Br 0.0000 0.0000 0.5080
Br2 Br 0.5000 0.0000 0.8527
Cl1 Cl 0.5000 0.0000 0.1349
```

The volume comes out at 214.7 Å³ per cell. The calculation puts the density of states at the Fermi level at 1.99 states/eV/f.u.

---

Bottom line: model 2, by a margin of 97.8 kJ/mol of atoms.

---

Model 1:
This record from Alexandria describes a relaxed structure of Pt2BrCl. The functional is PBEsol.

```
data_Pt2BrCl
_chemical_formula_sum 'Pt6 Br3 Cl3'
_space_group_name_H-M_alt 'R 3 m'
_space_group_IT_number 160
_space_group_name_Hall 'R 3 -2"'
_cell_length_a 3.6380
_cell_length_b 3.6380
_cell_length_c 21.8279
_cell_angle_alpha 90.00
_cell_angle_beta 90.00
_cell_angle_gamma 120.00
loop_
_atom_site_label
_atom_site_type_symbol
_atom_site_fract_x
_atom_site_fract_y
_atom_site_fract_z
Pt1 Pt 0.0000 0.0000 0.0000
Pt2 Pt 0.0000 0.0000 0.2664
Br1 Br 0.0000 0.0000 0.7321
Cl1 Cl 0.0000 0.0000 0.5411
```

The volume comes out at 250.2 Å³ per cell.

---

Model 2:
This record from Alexandria describes a relaxed structure of Pt2BrCl. The functional is PBEsol.

```
data_Pt2BrCl
_chemical_formula_sum 'Pt4 Br2 Cl2'
_space_group_name_H-M_alt 'C 1 2/m 1'
_space_group_IT_number 12
_cell_length_a 7.6089
_cell_length_b 3.4755
_cell_length_c 5.4823
_cell_angle_alpha 90.00
_cell_angle_beta 105.83
_cell_angle_gamma 90.00
loop_
_space_group_symop_operation_xyz
'x,y,z'
'-x,-y,-z'
'-x,y,-z'
'x,-y,z'
'x+1/2,y+1/2,z'
'-x+1/2,-y+1/2,-z'
'-x+1/2,y+1/2,-z'
'x+1/2,-y+1/2,z'
loop_
_atom_site_label
_atom_site_type_symbol
_atom_site_fract_x
_atom_site_fract_y
_atom_site_fract_z
Pt1 Pt 0.2448 0.0000 0.2672
Br1 Br 0.0000 0.5000 0.0000
Cl1 Cl 0.0000 0.0000 0.5000
```

The volume comes out at 139.5 Å³ per cell. The calculation puts the density of states at the Fermi level at 2.29 states/eV/f.u.

---

Model 3:
This record from Alexandria describes a relaxed structure of Pt2BrCl. The functional is PBEsol.

```
data_Pt2BrCl
_chemical_formula_sum 'Pt2 Br1 Cl1'
_space_group_name_H-M_alt 'P 4 m m'
_space_group_IT_number 99
_cell_length_a 3.1281
_cell_length_b 3.1281
_cell_length_c 7.6478
_cell_angle_alpha 90.00
_cell_angle_beta 90.00
_cell_angle_gamma 90.00
loop_
_space_group_symop_operation_xyz
'x,y,z'
'-y,x,z'
'-x,-y,z'
'y,-x,z'
'-x,y,z'
'y,x,z'
'x,-y,z'
'-y,-x,z'
loop_
_atom_site_label
_atom_site_type_symbol
_atom_site_fract_x
_atom_site_fract_y
_atom_site_fract_z
Pt1 Pt 0.0000 0.0000 0.0000
Pt2 Pt 0.5000 0.5000 0.2035
Br1 Br 0.0000 0.0000 0.4244
Cl1 Cl 0.5000 0.5000 0.7929
```

The volume comes out at 74.8 Å³ per cell. The calculation puts the density of states at the Fermi level at 6.10 states/eV/f.u.

---

Model 4:
This record from Alexandria describes a relaxed structure of Pt2BrCl. The functional is PBEsol.

```
data_Pt2BrCl
_chemical_formula_sum 'Pt4 Br2 Cl2'
_space_group_name_H-M_alt 'I 4/m m m'
_space_group_IT_number 139
_space_group_name_Hall '-I 4 2'
_cell_length_a 4.5464
_cell_length_b 4.5464
_cell_length_c 6.5269
_cell_angle_alpha 90.00
_cell_angle_beta 90.00
_cell_angle_gamma 90.00
loop_
_atom_site_label
_atom_site_type_symbol
_atom_site_fract_x
_atom_site_fract_y
_atom_site_fract_z
Pt1 Pt 0.0000 0.5000 0.2500
Br1 Br 0.0000 0.0000 0.0000
Cl1 Cl 0.0000 0.0000 0.5000
```

The volume comes out at 134.9 Å³ per cell. The calculation puts the density of states at the Fermi level at 4.27 states/eV/f.u.

---

Bottom line: model 1, by a margin of 58.9 kJ/mol of atoms.

---

Model 1:
This record from Alexandria describes a relaxed structure of Rb2BrCl. The functional is PBEsol.

```
data_Rb2BrCl
_chemical_formula_sum 'Rb8 Br4 Cl4'
_space_group_name_H-M_alt 'I -4 2 d'
_space_group_IT_number 122
_space_group_name_Hall 'I -4 2bw'
_cell_length_a 8.4689
_cell_length_b 8.4689
_cell_length_c 9.6322
_cell_angle_alpha 90.00
_cell_angle_beta 90.00
_cell_angle_gamma 90.00
loop_
_atom_site_label
_atom_site_type_symbol
_atom_site_fract_x
_atom_site_fract_y
_atom_site_fract_z
Rb1 Rb 0.2346 0.2500 0.1250
Br1 Br 0.0000 0.0000 0.5000
Cl1 Cl 0.0000 0.0000 0.0000
```

The volume comes out at 690.8 Å³ per cell. The calculation puts the density of states at the Fermi level at 0.00 states/eV/f.u.

---

Model 2:
This record from Alexandria describes a relaxed structure of Rb2BrCl. The functional is PBEsol.

```
data_Rb2BrCl
_chemical_formula_sum 'Rb8 Br4 Cl4'
_space_group_name_H-M_alt 'F m -3 m'
_space_group_IT_number 225
_space_group_name_Hall '-F 4 2 3'
_cell_length_a 7.9750
_cell_length_b 7.9750
_cell_length_c 7.9750
_cell_angle_alpha 90.00
_cell_angle_beta 90.00
_cell_angle_gamma 90.00
loop_
_atom_site_label
_atom_site_type_symbol
_atom_site_fract_x
_atom_site_fract_y
_atom_site_fract_z
Rb1 Rb 0.2500 0.2500 0.2500
Br1 Br 0.0000 0.0000 0.0000
Cl1 Cl 0.0000 0.0000 0.5000
```

The volume comes out at 507.2 Å³ per cell. The calculation puts the density of states at the Fermi level at 0.00 states/eV/f.u.

---

Bottom line: model 2, by a margin of 6.1 kJ/mol of atoms.

---

Model 1:
This record from Alexandria describes a relaxed structure of Re2BrCl. The functional is PBEsol.

```
data_Re2BrCl
_chemical_formula_sum 'Re4 Br2 Cl2'
_space_group_name_H-M_alt 'C m m m'
_space_group_IT_number 65
_space_group_name_Hall '-C 2 2'
_cell_length_a 2.7997
_cell_length_b 5.1981
_cell_length_c 8.8643
_cell_angle_alpha 90.00
_cell_angle_beta 90.00
_cell_angle_gamma 90.00
loop_
_atom_site_label
_atom_site_type_symbol
_atom_site_fract_x
_atom_site_fract_y
_atom_site_fract_z
Re1 Re 0.0000 0.0000 0.2425
Br1 Br 0.0000 0.5000 0.5000
Cl1 Cl 0.0000 0.5000 0.0000
```

The volume comes out at 129.0 Å³ per cell. The calculation puts the density of states at the Fermi level at 5.64 states/eV/f.u.

---

Model 2:
This record from Alexandria describes a relaxed structure of Re2BrCl. The functional is PBEsol.

```
data_Re2BrCl
_chemical_formula_sum 'Re4 Br2 Cl2'
_space_group_name_H-M_alt 'C 1 m 1'
_space_group_IT_number 8
_cell_length_a 6.0033
_cell_length_b 3.4279
_cell_length_c 8.6959
_cell_angle_alpha 90.00
_cell_angle_beta 90.19
_cell_angle_gamma 90.00
loop_
_space_group_symop_operation_xyz
'x,y,z'
'x,-y,z'
'x+1/2,y+1/2,z'
'x+1/2,-y+1/2,z'
loop_
_atom_site_label
_atom_site_type_symbol
_atom_site_fract_x
_atom_site_fract_y
_atom_site_fract_z
Re1 Re 0.0000 0.0000 0.0000
Re2 Re 0.1608 0.5000 0.1561
Br1 Br 0.3165 0.0000 0.7779
Cl1 Cl 0.1510 0.5000 0.4143
```

The volume comes out at 178.9 Å³ per cell. The calculation puts the density of states at the Fermi level at 0.14 states/eV/f.u.

---

Model 3:
This record from Alexandria describes a relaxed structure of Re2BrCl. The functional is PBEsol.

```
data_Re2BrCl
_chemical_formula_sum 'Re2 Br1 Cl1'
_space_group_name_H-M_alt 'P 4/m m m'
_space_group_IT_number 123
_space_group_name_Hall '-P 4 2'
_cell_length_a 3.0915
_cell_length_b 3.0915
_cell_length_c 6.2322
_cell_angle_alpha 90.00
_cell_angle_beta 90.00
_cell_angle_gamma 90.00
loop_
_atom_site_label
_atom_site_type_symbol
_atom_site_fract_x
_atom_site_fract_y
_atom_site_fract_z
Re1 Re 0.0000 0.0000 0.2286
Br1 Br 0.5000 0.5000 0.5000
Cl1 Cl 0.5000 0.5000 0.0000
```

The volume comes out at 59.6 Å³ per cell. The calculation puts the density of states at the Fermi level at 3.30 states/eV/f.u.

---

Bottom line: model 2, by a margin of 115.5 kJ/mol of atoms.